Run P
The following is a DFT calculation (PBE) of a geometry-optimized RbLiPb4 structure.

Structure (CIF):
```
data_RbLiPb4
_symmetry_space_group_name_H-M 'P m m a'
_symmetry_Int_Tables_number 51
_symmetry_space_group_name_Hall '-P 2a 2a'
_cell_length_a 9.502
_cell_length_b 4.804
_cell_length_c 8.706
_cell_angle_alpha 90.00
_cell_angle_beta 90.00
_cell_angle_gamma 90.00
loop_
_atom_site_label
_atom_site_type_symbol
_atom_site_fract_x
_atom_site_fract_y
_atom_site_fract_z
_atom_site_occupancy
Rb1 Rb 0.250 0.000 0.110 1
Li1 Li 0.250 0.000 0.688 1
Pb1 Pb 0.000 0.000 0.500 1
Pb2 Pb 0.075 0.500 0.785 1
Pb3 Pb 0.250 0.500 0.453 1
```

Calculated values
N(E_F): 2.67 states/eV/f.u.


Run Q
The following is a DFT calculation (PBE) of a geometry-optimized RbLiPb4 structure.

Structure (CIF):
```
data_RbLiPb4
_symmetry_space_group_name_H-M 'F -4 3 m'
_symmetry_Int_Tables_number 216
_symmetry_space_group_name_Hall 'F -4 2 3'
_cell_length_a 9.482
_cell_length_b 9.482
_cell_length_c 9.482
_cell_angle_alpha 90.00
_cell_angle_beta 90.00
_cell_angle_gamma 90.00
loop_
_atom_site_label
_atom_site_type_symbol
_atom_site_fract_x
_atom_site_fract_y
_atom_site_fract_z
_atom_site_occupancy
Rb1 Rb 0.000 0.000 0.000 1
Li1 Li 0.250 0.250 0.750 1
Pb1 Pb 0.124 0.124 0.376 1
```

Calculated values
N(E_F): 8.00 states/eV/f.u.


Order from most stable to least stable according to the calculation: run P, run Q


Run P
The following is a DFT calculation (PBE) of a geometry-optimized Rb2LiPb2 structure.

Structure (CIF):
```
data_Rb2LiPb2
_symmetry_space_group_name_H-M 'P 4/m b m'
_symmetry_Int_Tables_number 127
_symmetry_space_group_name_Hall '-P 4 2ab'
_cell_length_a 10.930
_cell_length_b 10.930
_cell_length_c 3.655
_cell_angle_alpha 90.00
_cell_angle_beta 90.00
_cell_angle_gamma 90.00
loop_
_atom_site_label
_atom_site_type_symbol
_atom_site_fract_x
_atom_site_fract_y
_atom_site_fract_z
_atom_site_occupancy
Rb1 Rb 0.196 0.304 0.000 1
Li1 Li 0.000 0.000 0.000 1
Pb1 Pb 0.098 0.598 0.500 1
```

Calculated values
N(E_F): 3.21 states/eV/f.u.


Run Q
The following is a DFT calculation (PBE) of a geometry-optimized Rb2LiPb2 structure.

Structure (CIF):
```
data_Rb2LiPb2
_symmetry_space_group_name_H-M 'P 4/m b m'
_symmetry_Int_Tables_number 127
_symmetry_space_group_name_Hall '-P 4 2ab'
_cell_length_a 8.040
_cell_length_b 8.040
_cell_length_c 6.212
_cell_angle_alpha 90.00
_cell_angle_beta 90.00
_cell_angle_gamma 90.00
loop_
_atom_site_label
_atom_site_type_symbol
_atom_site_fract_x
_atom_site_fract_y
_atom_site_fract_z
_atom_site_occupancy
Rb1 Rb 0.177 0.323 0.000 1
Li1 Li 0.000 0.000 0.500 1
Pb1 Pb 0.135 0.635 0.500 1
```

Calculated values
N(E_F): 4.76 states/eV/f.u.


Order from most stable to least stable according to the calculation: run Q, run P


Run P
The following is a DFT calculation (PBE) of a geometry-optimized RbLi2TlPb structure.

Structure (CIF):
```
data_RbLi2TlPb
_symmetry_space_group_name_H-M 'P 4/m m m'
_symmetry_Int_Tables_number 123
_symmetry_space_group_name_Hall '-P 4 2'
_cell_length_a 5.491
_cell_length_b 5.491
_cell_length_c 6.138
_cell_angle_alpha 90.00
_cell_angle_beta 90.00
_cell_angle_gamma 90.00
loop_
_atom_site_label
_atom_site_type_symbol
_atom_site_fract_x
_atom_site_fract_y
_atom_site_fract_z
_atom_site_occupancy
Rb1 Rb 0.000 0.000 0.000 1
Li1 Li 0.000 0.500 0.500 1
Tl1 Tl 0.500 0.500 0.000 1
Pb1 Pb 0.500 0.500 0.500 1
```

Calculated values
N(E_F): 1.28 states/eV/f.u.


Run Q
The following is a DFT calculation (PBE) of a geometry-optimized RbLi2TlPb structure.

Structure (CIF):
```
data_RbLi2TlPb
_symmetry_space_group_name_H-M 'P 4/m m m'
_symmetry_Int_Tables_number 123
_symmetry_space_group_name_Hall '-P 4 2'
_cell_length_a 5.463
_cell_length_b 5.463
_cell_length_c 6.732
_cell_angle_alpha 90.00
_cell_angle_beta 90.00
_cell_angle_gamma 90.00
loop_
_atom_site_label
_atom_site_type_symbol
_atom_site_fract_x
_atom_site_fract_y
_atom_site_fract_z
_atom_site_occupancy
Rb1 Rb 0.000 0.000 0.000 1
Li1 Li 0.000 0.500 0.500 1
Tl1 Tl 0.500 0.500 0.000 1
Pb1 Pb 0.000 0.000 0.500 1
```

Calculated values
N(E_F): 1.97 states/eV/f.u.


Order from most stable to least stable according to the calculation: run P, run Q


Run P
The following is a DFT calculation (PBE) of a geometry-optimized LiRe3Pb structure.

Structure (CIF):
```
data_LiRe3Pb
_symmetry_space_group_name_H-M 'P m -3 m'
_symmetry_Int_Tables_number 221
_symmetry_space_group_name_Hall '-P 4 2 3'
_cell_length_a 4.294
_cell_length_b 4.294
_cell_length_c 4.294
_cell_angle_alpha 90.00
_cell_angle_beta 90.00
_cell_angle_gamma 90.00
loop_
_atom_site_label
_atom_site_type_symbol
_atom_site_fract_x
_atom_site_fract_y
_atom_site_fract_z
_atom_site_occupancy
Li1 Li 0.000 0.000 0.000 1
Re1 Re 0.000 0.000 0.500 1
Pb1 Pb 0.500 0.500 0.500 1
```

Calculated values
N(E_F): 6.06 states/eV/f.u.


Run Q
The following is a DFT calculation (PBE) of a geometry-optimized LiRe3Pb structure.

Structure (CIF):
```
data_LiRe3Pb
_symmetry_space_group_name_H-M 'P m -3 m'
_symmetry_Int_Tables_number 221
_symmetry_space_group_name_Hall '-P 4 2 3'
_cell_length_a 5.057
_cell_length_b 5.057
_cell_length_c 5.057
_cell_angle_alpha 90.00
_cell_angle_beta 90.00
_cell_angle_gamma 90.00
loop_
_atom_site_label
_atom_site_type_symbol
_atom_site_fract_x
_atom_site_fract_y
_atom_site_fract_z
_atom_site_occupancy
Li1 Li 0.000 0.000 0.000 1
Re1 Re 0.000 0.500 0.500 1
Pb1 Pb 0.500 0.500 0.500 1
```

Calculated values
N(E_F): 6.33 states/eV/f.u.


Order from most stable to least stable according to the calculation: run P, run Q


Run P
The following is a DFT calculation (PBE) of a geometry-optimized LiRePb3 structure.

Structure (CIF):
```
data_LiRePb3
_symmetry_space_group_name_H-M 'P m -3 m'
_symmetry_Int_Tables_number 221
_symmetry_space_group_name_Hall '-P 4 2 3'
_cell_length_a 5.392
_cell_length_b 5.392
_cell_length_c 5.392
_cell_angle_alpha 90.00
_cell_angle_beta 90.00
_cell_angle_gamma 90.00
loop_
_atom_site_label
_atom_site_type_symbol
_atom_site_fract_x
_atom_site_fract_y
_atom_site_fract_z
_atom_site_occupancy
Li1 Li 0.000 0.000 0.000 1
Re1 Re 0.500 0.500 0.500 1
Pb1 Pb 0.000 0.500 0.500 1
```

Calculated values
N(E_F): 3.21 states/eV/f.u.


Run Q
The following is a DFT calculation (PBE) of a geometry-optimized LiRePb3 structure.

Structure (CIF):
```
data_LiRePb3
_symmetry_space_group_name_H-M 'P m -3 m'
_symmetry_Int_Tables_number 221
_symmetry_space_group_name_Hall '-P 4 2 3'
_cell_length_a 5.045
_cell_length_b 5.045
_cell_length_c 5.045
_cell_angle_alpha 90.00
_cell_angle_beta 90.00
_cell_angle_gamma 90.00
loop_
_atom_site_label
_atom_site_type_symbol
_atom_site_fract_x
_atom_site_fract_y
_atom_site_fract_z
_atom_site_occupancy
Li1 Li 0.000 0.000 0.000 1
Re1 Re 0.500 0.500 0.500 1
Pb1 Pb 0.000 0.000 0.500 1
```

Calculated values
N(E_F): 5.62 states/eV/f.u.


Order from most stable to least stable according to the calculation: run P, run Q


Run P
The following is a DFT calculation (PBE) of a geometry-optimized Li3RhPb structure.

Structure (CIF):
```
data_Li3RhPb
_symmetry_space_group_name_H-M 'P m -3 m'
_symmetry_Int_Tables_number 221
_symmetry_space_group_name_Hall '-P 4 2 3'
_cell_length_a 4.618
_cell_length_b 4.618
_cell_length_c 4.618
_cell_angle_alpha 90.00
_cell_angle_beta 90.00
_cell_angle_gamma 90.00
loop_
_atom_site_label
_atom_site_type_symbol
_atom_site_fract_x
_atom_site_fract_y
_atom_site_fract_z
_atom_site_occupancy
Li1 Li 0.000 0.000 0.500 1
Rh1 Rh 0.000 0.000 0.000 1
Pb1 Pb 0.500 0.500 0.500 1
```

Calculated values
N(E_F): 2.08 states/eV/f.u.


Run Q
The following is a DFT calculation (PBE) of a geometry-optimized Li3RhPb structure.

Structure (CIF):
```
data_Li3RhPb
_symmetry_space_group_name_H-M 'P 1 21/m 1'
_symmetry_Int_Tables_number 11
_symmetry_space_group_name_Hall '-P 2yb'
_cell_length_a 4.534
_cell_length_b 7.452
_cell_length_c 5.412
_cell_angle_alpha 90.00
_cell_angle_beta 90.06
_cell_angle_gamma 90.00
loop_
_atom_site_label
_atom_site_type_symbol
_atom_site_fract_x
_atom_site_fract_y
_atom_site_fract_z
_atom_site_occupancy
Li1 Li 0.247 0.250 0.249 1
Li2 Li 0.248 0.066 0.824 1
Rh1 Rh 0.254 0.750 0.973 1
Pb1 Pb 0.253 0.750 0.461 1
```

Calculated values
N(E_F): 1.57 states/eV/f.u.


Order from most stable to least stable according to the calculation: run Q, run P